1.
{"formula": "CdCuPb2", "functional": "PBE", "state": "optimized geometry", "energy_ev_per_atom": -2.789, "lattice_angstrom": [[5.2244, 0.0000, 0.0000], [2.6122, 4.5245, 0.0000], [2.6122, 1.5082, 4.2657]], "species": ["Cd", "Cu", "Pb", "Pb"], "frac_coords": [[0.5000, 0.5000, 0.5000], [0.7500, 0.7500, 0.7500], [0.0000, 0.0000, 0.0000], [0.2500, 0.2500, 0.2500]]}

2.
{"formula": "CdCuPb2", "functional": "PBE", "state": "optimized geometry", "energy_ev_per_atom": -2.939, "lattice_angstrom": [[-4.2685, -0.6578, 4.7220], [-1.8579, -3.0094, 5.3331], [1.3037, 2.4774, 4.3915]], "species": ["Cd", "Cu", "Pb", "Pb"], "frac_coords": [[0.4498, 0.4498, 0.5484], [0.7560, 0.7560, 0.7477], [0.0432, 0.0432, 0.9546], [0.2510, 0.2510, 0.2493]]}

3.
{"formula": "Cd9Cu2Pb", "functional": "PBE", "state": "optimized geometry", "energy_ev_per_atom": -1.618, "lattice_angstrom": [[6.7725, 0.0000, 3.1179], [3.3862, 8.3892, 1.5590], [-0.1221, 0.0000, 9.1794]], "species": ["Cd", "Cd", "Cd", "Cd", "Cd", "Cd", "Cd", "Cd", "Cd", "Cd", "Cd", "Cd", "Cd", "Cd", "Cd", "Cd", "Cd", "Cd", "Cu", "Cu", "Cu", "Cu", "Pb", "Pb"], "frac_coords": [[0.7500, 0.5000, 0.5000], [0.0000, 0.0000, 0.0000], [0.0083, 0.9225, 0.6806], [0.6114, 0.0775, 0.3194], [0.6808, 0.1806, 0.5775], [0.4389, 0.8194, 0.4225], [0.7417, 0.8194, 0.5775], [0.1386, 0.1806, 0.4225], [0.0692, 0.9225, 0.3194], [0.3111, 0.0775, 0.6806], [0.7417, 0.5775, 0.8194], [0.1386, 0.4225, 0.1806], [0.0692, 0.3194, 0.9225], [0.3111, 0.6806, 0.0775], [0.0083, 0.6806, 0.9225], [0.6114, 0.3194, 0.0775], [0.6808, 0.5775, 0.1806], [0.4389, 0.4225, 0.8194], [0.8750, 0.2500, 0.7500], [0.8750, 0.7500, 0.2500], [0.8750, 0.2500, 0.2500], [0.3750, 0.7500, 0.7500], [0.5000, 0.0000, 0.0000], [0.2500, 0.5000, 0.5000]]}